No. 1
First-principles (GGA-PBE) data for a relaxed structure of SrZnSn2Pd, as listed in the Alexandria database.

The total magnetization is 0.000 μB/atom. For the total energy, the calculation gives -3.738 eV per atom.

The structure belongs to space group I-4m2 (No. 119); the cell edges are 4.6039, 4.6039 and 11.5382 Å and the angles 90.00°, 90.00° and 90.00°. The asymmetric unit holds Sr at (0.0000, 0.0000, 0.0000), Zn at (0.0000, 0.5000, 0.2500), Sn at (0.0000, 0.0000, 0.3745) and Pd at (0.0000, 0.5000, 0.7500).

No. 2
First-principles (GGA-PBE) data for a relaxed structure of Sr2ZnSnPd6, as listed in the Alexandria database.

The total magnetization is 0.000 μB/atom. For the total energy, the calculation gives -4.516 eV per atom.

The structure belongs to space group P-1 (No. 2); the cell edges are 6.6755, 6.6771 and 6.7004 Å and the angles 61.64°, 61.70° and 61.68°. The asymmetric unit holds Sr at (0.2010, 0.2004, 0.2018), Zn at (0.0000, 0.0000, 0.0000), Sn at (0.5000, 0.5000, 0.5000), Pd at (0.1603, 0.3214, 0.6311), Pd at (0.3224, 0.6317, 0.1605) and Pd at (0.3677, 0.8389, 0.6789).